Compound: Rb3Pm2ZnO6
Source: Alexandria via LeMat-Bulk
Functional: GGA-PBE
Structure: optimized geometry

Cell lengths 6.0727, 6.0727, 6.9821 Å; angles 100.25, 100.25, 117.40 degrees
Last column: nearest neighbours and their distance in Å.
Positions (direct):
Rb 0.1642 0.8358 0.5000  6 O 2.81-3.09
Rb 0.8358 0.1642 0.5000  6 O 2.81-3.09
Rb 0.5000 0.5000 0.5000  6 O 2.77-2.89
Pm 0.3367 0.6633 0.0000  6 O 2.32-2.45
Pm 0.6633 0.3367 0.0000  6 O 2.32-2.45
Zn 0.0000 0.0000 0.0000  4 O 2.13
O 0.9380 0.6357 0.8363  1 Zn 2.13
O 0.7071 0.7071 0.2087  2 Pm 2.32
O 0.0620 0.3643 0.1637  1 Zn 2.13
O 0.6357 0.9380 0.8363  1 Zn 2.13
O 0.2929 0.2929 0.7913  2 Pm 2.32
O 0.3643 0.0620 0.1637  1 Zn 2.13

Results
- Total DFT energy (no corrections): -0.2055 hartree per atom
- Fermi-level density of states: 9.23 states/eV per cell
- Space group: No. 12
- Formation energy without anion corrections: -23.7 eV per formula unit



Compound: ZrScTe3
Source: Alexandria via LeMat-Bulk
Functional: GGA-PBE
Structure: optimized geometry

Cell lengths 5.5663, 5.5663, 5.5663 Å; angles 90.00, 90.00, 90.00 degrees
Last column: nearest neighbours and their distance in Å.
Positions (direct):
Sc 0.5000 0.5000 0.5000  12 Te 3.94
Te 0.0000 0.5000 0.0000  2 Zr 2.78
Te 0.0000 0.0000 0.5000  2 Zr 2.78
Te 0.5000 0.0000 0.0000  2 Zr 2.78
Zr 0.0000 0.0000 0.0000  6 Te 2.78

Results
- Total DFT energy (no corrections): -0.1848 hartree per atom
- Fermi-level density of states: 11.92 states/eV per cell
- Space group: No. 221
- Formation energy without anion corrections: -0.8 eV per formula unit



Compound: HfAlCuRu
Source: Alexandria via LeMat-Bulk
Functional: GGA-PBE
Structure: optimized geometry

Cell lengths 4.4281, 4.4281, 4.4281 Å; angles 60.00, 60.00, 60.00 degrees
Last column: nearest neighbours and their distance in Å.
Positions (direct):
Ru 0.7500 0.7500 0.7500  4 Hf 2.71, 4 Al 2.71
Hf 0.0000 0.0000 0.0000  4 Ru 2.71, 4 Cu 2.71
Al 0.5000 0.5000 0.5000  4 Ru 2.71, 4 Cu 2.71
Cu 0.2500 0.2500 0.2500  4 Hf 2.71, 4 Al 2.71

Results
- Total DFT energy (no corrections): -0.2661 hartree per atom
- Fermi-level density of states: 2.27 states/eV per cell
- Space group: No. 216
- Calculated formation energy: -0.47 eV per atom